No. 1
A plane-wave DFT calculation with PBE-GGA was carried out for an optimized crystal structure of LiSc3Hg6.

The structure in extended XYZ format:
```
20
Lattice="8.6251 0.0000 0.0000 0.0000 4.8937 0.0000 -3.0297 0.0000 10.1450" Properties=species:S:1:pos:R:3 pbc="T T T"
Li -0.7882 1.2234 4.1077
Li 6.3836 3.6702 6.0372
Sc 1.9666 1.2234 0.0443
Sc 0.6825 3.6702 8.0087
Sc 2.1807 1.2234 6.1789
Sc 3.4148 3.6702 3.9661
Sc 4.9129 1.2234 2.1362
Sc 3.6288 3.6702 10.1007
Hg -2.0919 3.6702 8.8911
Hg 0.6903 3.6702 1.8838
Hg -0.7479 1.2234 6.9603
Hg 0.5666 3.6702 5.0587
Hg 2.0180 1.2234 3.1374
Hg 3.7547 3.6702 0.9037
Hg 1.8407 1.2234 9.2413
Hg 3.5774 3.6702 7.0076
Hg 5.0288 1.2234 5.0863
Hg 6.3434 3.6702 3.1847
Hg 4.9051 1.2234 8.2612
Hg 7.6873 1.2234 1.2539
```

- Raw total energy: -51.77 eV per cell
- Calculated volume: 21.4 Å³/atom
- Space-group type: No. 11
- Energy of formation from the pure elements: -31 kJ per mole of atoms
- Density: 10.4 Mg/m³

---

No. 2
A plane-wave DFT calculation with PBE-GGA was carried out for an optimized crystal structure of LiScHg2.

The structure in extended XYZ format:
```
4
Lattice="3.3830 0.0000 0.0000 0.0000 3.3830 0.0000 0.0000 0.0000 7.0007" Properties=species:S:1:pos:R:3 pbc="T T T"
Li 0.0000 0.0000 0.0000
Sc 0.0000 0.0000 3.5003
Hg 1.6915 1.6915 1.6315
Hg 1.6915 1.6915 5.3692
```

- Raw total energy: -10.34 eV per cell
- Calculated volume: 20.0 Å³/atom
- Space-group type: No. 123
- Polymorph energy (0 for the lowest one): 0.026 eV per atom
- Energy of formation from the pure elements: -36 kJ per mole of atoms
- Density: 9.4 Mg/m³

---

No. 3
A plane-wave DFT calculation with PBE-GGA was carried out for an optimized crystal structure of LiSc2Hg.

The structure in extended XYZ format:
```
4
Lattice="3.5275 0.0000 0.0000 0.0000 3.5275 0.0000 0.0000 0.0000 6.8113" Properties=species:S:1:pos:R:3 pbc="T T T"
Li 0.0000 0.0000 0.0000
Sc 1.7637 1.7637 1.6508
Sc 1.7637 1.7637 5.1605
Hg 0.0000 0.0000 3.4056
```

- Raw total energy: -15.43 eV per cell
- Calculated volume: 21.2 Å³/atom
- Space-group type: No. 123
- Energy of formation from the pure elements: -13 kJ per mole of atoms
- Density: 5.8 Mg/m³

---

No. 4
A plane-wave DFT calculation with PBE-GGA was carried out for an optimized crystal structure of Li2ScHg3.

The structure in extended XYZ format:
```
6
Lattice="3.3672 0.0000 0.0000 0.0000 3.3672 0.0000 0.0000 0.0000 10.2786" Properties=species:S:1:pos:R:3 pbc="T T T"
Li 0.0000 0.0000 1.6427
Li 0.0000 0.0000 8.6358
Sc 0.0000 0.0000 5.1393
Hg 1.6836 1.6836 0.0000
Hg 1.6836 1.6836 3.2441
Hg 1.6836 1.6836 7.0345
```

- Raw total energy: -13.33 eV per cell
- Calculated volume: 19.4 Å³/atom
- Space-group type: No. 123
- Energy of formation from the pure elements: -36 kJ per mole of atoms
- Density: 9.4 Mg/m³

---

No. 5
A plane-wave DFT calculation with PBE-GGA was carried out for an optimized crystal structure of Li2ScHg2.

The structure in extended XYZ format:
```
5
Lattice="-1.8968 1.8968 6.9511 1.8968 -1.8968 6.9511 1.8968 1.8968 -6.9511" Properties=species:S:1:pos:R:3 pbc="T T T"
Li 1.8968 0.0000 3.4755
Li 0.0000 1.8968 3.4755
Sc 0.0000 0.0000 0.0000
Hg 0.0000 0.0000 5.4574
Hg 0.0000 0.0000 8.4447
```

- Raw total energy: -12.07 eV per cell
- Calculated volume: 20.0 Å³/atom
- Space-group type: No. 139
- Polymorph energy (0 for the lowest one): 0.024 eV per atom
- Energy of formation from the pure elements: -25 kJ per mole of atoms
- Density: 7.6 Mg/m³

---

No. 6
A plane-wave DFT calculation with PBE-GGA was carried out for an optimized crystal structure of LiScHg.

The structure in extended XYZ format:
```
3
Lattice="1.6625 0.9598 7.0268 -1.6625 0.9598 7.0268 0.0000 -1.9197 7.0268" Properties=species:S:1:pos:R:3 pbc="T T T"
Li 0.0000 0.0000 0.0000
Sc 0.0000 0.0000 4.4722
Hg 0.0000 0.0000 9.1440
```

- Raw total energy: -8.69 eV per cell
- Calculated volume: 22.4 Å³/atom
- Space-group type: No. 160
- Polymorph energy (0 for the lowest one): 0.186 eV per atom
- Energy of formation from the pure elements: -5 kJ per mole of atoms
- Density: 6.2 Mg/m³

---

No. 7
A plane-wave DFT calculation with PBE-GGA was carried out for an optimized crystal structure of LiScHg2.

The structure in extended XYZ format:
```
4
Lattice="1.7647 1.0188 8.2045 -1.7647 1.0188 8.2045 0.0000 -2.0377 8.2045" Properties=species:S:1:pos:R:3 pbc="T T T"
Li 0.0000 0.0000 0.0000
Sc 0.0000 0.0000 12.3067
Hg 0.0000 0.0000 6.2591
Hg 0.0000 0.0000 18.3543
```

- Raw total energy: -9.80 eV per cell
- Calculated volume: 22.1 Å³/atom
- Space-group type: No. 166
- Polymorph energy (0 for the lowest one): 0.161 eV per atom
- Energy of formation from the pure elements: -23 kJ per mole of atoms
- Density: 8.5 Mg/m³

---

No. 8
A plane-wave DFT calculation with PBE-GGA was carried out for an optimized crystal structure of LiScHg2.

The structure in extended XYZ format:
```
4
Lattice="3.3356 0.0000 0.0000 0.0000 4.9769 0.0000 0.0000 0.0000 4.9780" Properties=species:S:1:pos:R:3 pbc="T T T"
Li 0.0000 0.0000 0.0000
Sc 0.0000 2.4885 2.4987
Hg 1.6678 0.0000 2.4907
Hg 1.6678 2.4885 0.0101
```

- Raw total energy: -10.41 eV per cell
- Calculated volume: 20.7 Å³/atom
- Space-group type: No. 25
- Polymorph energy (0 for the lowest one): 0.007 eV per atom
- Energy of formation from the pure elements: -38 kJ per mole of atoms
- Density: 9.1 Mg/m³